Below is an optimized crystal structure of NpCoO5, with properties calculated at the GGA+U level.

Results
VASP energy ... -7.866 eV per atom
Total moment ... 1.99 μB per formula unit

Cell and atoms, written as extended XYZ:
```
14
Lattice="5.8824 -0.4220 -1.3349 -1.9948 5.5500 -1.3349 -0.8891 -1.1727 8.1965" Properties=species:S:1:pos:R:3 pbc="T T T"
Co 1.2761 1.6851 4.8125
Co 1.7225 2.2701 0.7142
Np 0.0000 0.0000 0.0000
Np -0.4445 -0.5864 4.0982
O -0.4938 1.3756 4.4270
O 1.4573 -0.1019 4.4263
O 3.0457 1.9933 5.1987
O 5.6594 -0.7146 0.7142
O 1.5413 4.0572 1.1004
O 3.4924 2.5797 1.0997
O -2.6608 4.6699 4.8125
O -0.0471 1.9620 0.3280
O 1.9023 0.4824 0.3288
O 1.0963 3.4729 5.1979
```